Record 1
# Te3P (GGA-PBEsol, relaxed)
# Total moment: 0.000 Bohr magnetons per cell
# Uncorrected formation energy: 1.10 eV/f.u.
# Energy relative to the lowest polymorph listed for this composition: 0.00 eV/f.u.
# Uncorrected energy: -3.818 eV/atom
data_Te3P
_symmetry_space_group_name_H-M 'P -6 m 2'
_symmetry_Int_Tables_number 187
_symmetry_space_group_name_Hall 'P -6 2'
_cell_length_a 3.7171
_cell_length_b 3.7171
_cell_length_c 8.4548
_cell_angle_alpha 90.00
_cell_angle_beta 90.00
_cell_angle_gamma 120.00
loop_
_atom_site_label
_atom_site_type_symbol
_atom_site_fract_x
_atom_site_fract_y
_atom_site_fract_z
Te1 Te 0.0000 0.0000 0.0000
Te2 Te 0.3333 0.6667 0.2806
P1 P 0.0000 0.0000 0.5000

Record 2
# As2Cl3OF5 (GGA-PBEsol, relaxed)
# Total moment: 0.001 Bohr magnetons per cell
# Uncorrected formation energy: -16.27 eV/f.u.
# Uncorrected energy: -4.309 eV/atom
data_As2Cl3OF5
_symmetry_space_group_name_H-M 'P 1 21/c 1'
_symmetry_Int_Tables_number 14
_symmetry_space_group_name_Hall '-P 2ybc'
_cell_length_a 6.045
_cell_length_b 18.957
_cell_length_c 7.790
_cell_angle_alpha 90.00
_cell_angle_beta 107.41
_cell_angle_gamma 90.00
loop_
_atom_site_label
_atom_site_type_symbol
_atom_site_fract_x
_atom_site_fract_y
_atom_site_fract_z
As1 As 0.050 0.122 0.184
As2 As 0.366 0.614 0.681
Cl1 Cl 0.188 0.632 0.869
Cl2 Cl 0.380 0.038 0.715
Cl3 Cl 0.470 0.208 0.851
O1 O 0.198 0.576 0.487
F1 F 0.012 0.197 0.044
F2 F 0.068 0.044 0.309
F3 F 0.150 0.656 0.215
F4 F 0.242 0.087 0.077
F5 F 0.280 0.160 0.352

Record 3
# YCuN2O (GGA-PBEsol, relaxed)
# Total moment: 0.000 Bohr magnetons per cell
# Uncorrected formation energy: -1.78 eV/f.u.
# Uncorrected energy: -7.048 eV/atom
data_YCuN2O
_symmetry_space_group_name_H-M 'P 4/m m m'
_symmetry_Int_Tables_number 123
_symmetry_space_group_name_Hall '-P 4 2'
_cell_length_a 3.697
_cell_length_b 3.697
_cell_length_c 3.859
_cell_angle_alpha 90.00
_cell_angle_beta 90.00
_cell_angle_gamma 90.00
loop_
_atom_site_label
_atom_site_type_symbol
_atom_site_fract_x
_atom_site_fract_y
_atom_site_fract_z
Y1 Y 0.000 0.000 0.000
Cu1 Cu 0.500 0.500 0.500
N1 N 0.000 0.500 0.500
O1 O 0.500 0.500 0.000